No. 1
DFT (PBE) results for a relaxed structure of Rb2SrPPb.

Lattice parameters (Å, degrees): 7.4709 5.3297 7.4709 90.00 90.00 90.00
Each line ends with the local moment (μB).
Fractional coordinates of all 5 atoms:
1 Rb 0.0000 0.0000 0.5000  0.01
2 Rb 0.5000 0.0000 0.0000  0.01
3 Pb 0.5000 0.5000 0.5000  0.41
4 Sr 0.0000 0.0000 0.0000  -0.01
5 P 0.0000 0.5000 0.0000  0.04

DOS(E_F): 1.127 states/eV per atom
Magnetization: 1.50 μB/f.u.
Energy relative to the elements: 416 meV per atom

***

No. 2
DFT (PBE) results for a relaxed structure of Tb2ErTh.

Lattice parameters (Å, degrees): 3.5576 3.5576 10.0591 90.00 90.00 90.00
Fractional coordinates of all 4 atoms:
1 Th 0.5000 0.5000 0.5000
2 Tb 0.0000 0.0000 0.2544
3 Tb 0.0000 0.0000 0.7456
4 Er 0.5000 0.5000 0.0000

DOS(E_F): 1.204 states/eV per atom
Magnetization: 0.00 μB/f.u.
Energy relative to the elements: 31 meV per atom
E above lowest polymorph: 4 meV/atom

***

No. 3
DFT (PBE) results for a relaxed structure of GaNF.

Lattice parameters (Å, degrees): 3.8474 3.1476 13.3968 90.00 90.14 90.00
Fractional coordinates of all 12 atoms:
1 N 0.2492 0.5000 0.8400
2 N 0.2492 0.0000 0.3400
3 N 0.9250 0.0000 0.3409
4 N 0.9250 0.5000 0.8409
5 Ga 0.6834 0.5000 0.0365
6 Ga 0.5842 0.0000 0.8278
7 Ga 0.6834 0.0000 0.5365
8 Ga 0.5842 0.5000 0.3278
9 F 0.0238 0.0000 0.0579
10 F 0.5801 0.0000 0.6822
11 F 0.5801 0.5000 0.1822
12 F 0.0238 0.5000 0.5579

Formation energy from raw total energies: -0.902 eV/atom
DOS(E_F): 0.134 states/eV per atom
Magnetization: 0.00 μB/f.u.
E above lowest polymorph: 135 meV/atom

***

No. 4
DFT (PBE) results for a relaxed structure of HoCuAgGe.

Lattice parameters (Å, degrees): 4.7124 4.7124 4.7124 60.00 60.00 60.00
Fractional coordinates of all 4 atoms:
1 Ho 0.0000 0.0000 0.0000
2 Cu 0.7500 0.7500 0.7500
3 Ge 0.2500 0.2500 0.2500
4 Ag 0.5000 0.5000 0.5000

DOS(E_F): 0.511 states/eV per atom
Magnetization: 0.00 μB/f.u.
Energy relative to the elements: -271 meV per atom

***

Which formula does entry 3 have? GaNF

***

The highest magnetization belongs to which entry? Rb2SrPPb